Record 1
Compound: Sr4Li3
Source: the Alexandria database
Functional: PBE
Structure: relaxed

abc: 14.080 5.924 7.846
angles: 90.00 119.38 90.00
Fractional positions:
Sr 0.033 0.000 0.278
Sr 0.185 0.500 0.777
Sr 0.315 0.000 0.223
Sr 0.467 0.500 0.722
Sr 0.533 0.500 0.278
Sr 0.685 0.000 0.777
Sr 0.815 0.500 0.223
Sr 0.967 0.000 0.722
Li 0.000 0.500 0.000
Li 0.208 0.500 0.325
Li 0.292 0.000 0.675
Li 0.500 0.000 0.000
Li 0.708 0.000 0.325
Li 0.792 0.500 0.675

E = -12.04 eV per formula unit
Energy of formation = 0.0612 eV/atom


Record 2
Compound: LiGa
Source: the Alexandria database
Functional: PBE
Structure: relaxed

abc: 7.747 7.747 4.188
angles: 90.00 90.00 120.00
Fractional positions:
Li 0.161 0.322 0.250
Li 0.161 0.839 0.250
Li 0.322 0.161 0.750
Li 0.678 0.839 0.250
Li 0.839 0.161 0.750
Li 0.839 0.678 0.750
Ga 0.109 0.554 0.750
Ga 0.446 0.554 0.750
Ga 0.446 0.891 0.750
Ga 0.554 0.109 0.250
Ga 0.554 0.446 0.250
Ga 0.891 0.446 0.250

E = -5.45 eV per formula unit
Energy of formation = -0.2551 eV/atom


Record 3
Compound: CeNF
Source: the Alexandria database
Functional: PBE
Structure: relaxed

abc: 5.566 5.566 5.566
angles: 90.00 90.00 90.00
Fractional positions:
Ce 0.000 0.000 0.000
Ce 0.000 0.500 0.500
Ce 0.500 0.000 0.500
Ce 0.500 0.500 0.000
N 0.250 0.250 0.750
N 0.250 0.750 0.250
N 0.750 0.250 0.250
N 0.750 0.750 0.750
F 0.250 0.250 0.250
F 0.250 0.750 0.750
F 0.750 0.250 0.750
F 0.750 0.750 0.250

E = -23.46 eV per formula unit
Energy relative to the elements, uncorrected = -2443.6 meV/atom


Record 4
Compound: CaTaNi
Source: the Alexandria database
Functional: PBE
Structure: relaxed

abc: 3.223 3.223 11.855
angles: 90.00 90.00 90.00
Fractional positions:
Ca 0.000 0.000 0.000
Ca 0.500 0.500 0.500
Ta 0.000 0.000 0.281
Ta 0.500 0.500 0.781
Ni 0.000 0.000 0.693
Ni 0.500 0.500 0.193

E = -19.07 eV per formula unit
Energy of formation = 0.1876 eV/atom
Energy above the lowest structure with this stoichiometry = 0 meV per atom


Record 5
Compound: Cs2NpI5
Source: the Alexandria database
Functional: PBE
Structure: relaxed

abc: 11.142 8.617 17.503
angles: 90.00 90.00 90.00
Fractional positions:
Cs 0.045 0.250 0.198
Cs 0.174 0.750 0.414
Cs 0.326 0.250 0.914
Cs 0.455 0.750 0.698
Cs 0.545 0.250 0.302
Cs 0.674 0.750 0.086
Cs 0.826 0.250 0.586
Cs 0.955 0.750 0.802
Np 0.190 0.750 0.059
Np 0.310 0.250 0.559
Np 0.690 0.750 0.441
Np 0.810 0.250 0.941
I 0.000 0.000 0.000
I 0.000 0.500 0.000
I 0.035 0.750 0.205
I 0.144 0.509 0.610
I 0.144 0.991 0.610
I 0.217 0.250 0.391
I 0.283 0.750 0.891
I 0.356 0.009 0.110
I 0.356 0.491 0.110
I 0.465 0.250 0.705
I 0.500 0.000 0.500
I 0.500 0.500 0.500
I 0.535 0.750 0.295
I 0.644 0.509 0.890
I 0.644 0.991 0.890
I 0.717 0.250 0.109
I 0.783 0.750 0.609
I 0.856 0.009 0.390
I 0.856 0.491 0.390
I 0.965 0.250 0.795

E = -32.20 eV per formula unit
Energy relative to the elements, uncorrected = -1225.7 meV/atom


Record 6
Compound: Sc2SbPd2
Source: the Alexandria database
Functional: PBE
Structure: relaxed

abc: 7.805 7.805 3.345
angles: 90.00 90.00 90.00
Fractional positions:
Sc 0.157 0.343 0.000
Sc 0.343 0.843 0.000
Sc 0.657 0.157 0.000
Sc 0.843 0.657 0.000
Sb 0.000 0.000 0.000
Sb 0.500 0.500 0.000
Pd 0.130 0.630 0.500
Pd 0.370 0.130 0.500
Pd 0.630 0.870 0.500
Pd 0.870 0.370 0.500

E = -30.45 eV per formula unit
Energy above the lowest structure with this stoichiometry = 221 meV per atom
Energy relative to the elements, uncorrected = -655.7 meV/atom